# 1
A plane-wave DFT calculation with PBE-GGA was carried out for a geometry-optimized Cd5Sn3O12 structure.

Computed properties:
SG: No. 230
Uncorrected formation energy: -18.72 eV/f.u.

Cell and atoms, written as extended XYZ:
```
80
Lattice="-6.857 6.857 6.857 6.857 -6.857 6.857 6.857 6.857 -6.857" Properties=species:S:1:pos:R:3 pbc="T T T"
Cd 0.000 0.000 0.000
Cd 3.429 3.429 -3.429
Cd 3.429 -3.429 3.429
Cd 6.857 0.000 0.000
Cd 10.286 1.714 0.000
Cd 6.857 -3.429 5.143
Cd 5.143 6.857 -3.429
Cd 5.143 0.000 3.429
Cd 3.429 5.143 0.000
Cd 6.857 3.429 1.714
Cd -3.429 3.429 3.429
Cd 0.000 6.857 0.000
Cd 0.000 0.000 6.857
Cd 3.429 3.429 3.429
Cd 0.000 3.429 5.143
Cd 3.429 1.714 6.857
Cd 1.714 6.857 3.429
Cd 1.714 0.000 10.286
Cd 0.000 10.286 1.714
Cd -3.429 5.143 6.857
Sn 3.429 1.714 0.000
Sn 6.857 3.429 -1.714
Sn 1.714 0.000 3.429
Sn 8.572 0.000 3.429
Sn 0.000 3.429 1.714
Sn 3.429 -1.714 6.857
Sn 3.429 8.572 0.000
Sn 6.857 3.429 5.143
Sn -1.714 6.857 3.429
Sn 5.143 6.857 3.429
Sn 0.000 3.429 8.572
Sn 3.429 5.143 6.857
O 5.593 -3.162 3.234
O 11.550 -0.195 0.267
O 5.593 3.696 -3.234
O 4.693 0.195 0.267
O 7.052 6.591 -4.693
O 3.234 -1.264 3.162
O 3.162 3.234 -1.264
O 7.124 2.164 -0.195
O 3.696 -3.234 5.593
O 6.591 -4.693 7.052
O 3.234 5.593 -3.162
O 7.052 0.267 2.164
O 7.052 -0.267 4.693
O 10.092 1.264 3.162
O 3.696 3.234 1.264
O 6.591 4.693 -0.195
O 0.267 4.693 0.195
O 10.019 3.623 1.264
O 0.195 0.267 4.693
O 3.234 1.264 3.696
O -1.264 3.162 3.234
O 4.693 -0.195 6.591
O 4.693 7.052 -0.267
O 5.593 3.162 3.623
O 1.264 3.696 3.234
O 2.164 -0.195 7.124
O 2.164 7.052 0.267
O 8.122 3.696 3.623
O 3.623 5.593 3.162
O 6.663 6.591 2.164
O -3.162 3.234 5.593
O 6.591 2.164 6.663
O 0.267 2.164 7.052
O 3.162 3.623 5.593
O -3.234 5.593 3.696
O -0.195 7.124 2.164
O -0.195 6.591 4.693
O 3.623 1.264 10.019
O 0.267 11.550 -0.195
O 3.162 10.092 1.264
O -0.267 4.693 7.052
O 3.696 3.623 8.122
O 3.623 8.122 3.696
O -0.195 0.267 11.550
O 2.164 6.663 6.591
O 1.264 3.162 10.092
O -4.693 7.052 6.591
O 1.264 10.019 3.623
```

=====

# 2
A plane-wave DFT calculation with PBE-GGA was carried out for a geometry-optimized NiHSe2 structure.

Computed properties:
SG: No. 1
Polymorph energy (0 for the lowest one): 40 meV per atom

Cell and atoms, written as extended XYZ:
```
4
Lattice="3.535 0.000 0.000 -1.765 3.420 0.000 -0.028 -1.319 5.540" Properties=species:S:1:pos:R:3 pbc="T T T"
Ni 0.000 0.000 0.000
H 0.002 2.501 2.252
Se -0.025 0.920 4.554
Se 1.768 0.416 1.552
```

=====

# 3
A plane-wave DFT calculation with PBE-GGA was carried out for a geometry-optimized LiAl2Te structure.

Computed properties:
SG: No. 65
Uncorrected formation energy: -0.21 eV/f.u.

Cell and atoms, written as extended XYZ:
```
4
Lattice="2.740 -3.957 0.000 2.740 3.957 0.000 0.000 0.000 3.956" Properties=species:S:1:pos:R:3 pbc="T T T"
Li 0.000 0.000 0.000
Al 1.370 1.979 1.978
Al 1.370 -1.979 1.978
Te 2.740 0.000 0.000
```

=====

Summary of V in A^3/atom
16.1; 16.7; 21.5
(order as listed above)
Summary of total magnetic moment in μB/f.u.
0.00; 0.00; 0.00
(order as listed above)